Record 1
{"formula": "NbCrMo3", "functional": "meta-GGA SCAN", "state": "PBEsol geometry", "ef_mev_per_atom": 1084, "dos_ef_per_ev_cell": 6.589, "crystal_system": "cubic", "sg": "Pm-3m (221)", "final_energy_ev_per_cell": -150.7, "lattice": [[4.405, 0.000, 0.000], [0.000, 4.405, 0.000], [0.000, 0.000, 4.405]], "species": ["Cr", "Mo", "Mo", "Mo", "Nb"], "fractional_positions": [[0.000, 0.000, 0.000], [0.000, 0.500, 0.000], [0.000, 0.000, 0.500], [0.500, 0.000, 0.000], [0.500, 0.500, 0.500]]}

---

Record 2
{"formula": "NbCrMo2Se", "functional": "meta-GGA SCAN", "state": "PBEsol geometry", "dos_ef_per_ev_cell": 3.255, "crystal_system": "tetragonal", "sg": "P4/mmm (123)", "final_energy_ev_per_cell": -136.8, "lattice": [[4.246, 0.000, 0.000], [0.000, 4.558, 0.000], [0.000, 0.000, 4.558]], "species": ["Cr", "Mo", "Mo", "Nb", "Se"], "fractional_positions": [[0.500, 0.000, 0.000], [0.000, 0.000, 0.500], [0.000, 0.500, 0.000], [0.500, 0.500, 0.500], [0.000, 0.000, 0.000]]}

---

Record 3
{"formula": "CrNiMo2", "functional": "meta-GGA SCAN", "state": "PBEsol geometry", "ef_mev_per_atom": 198, "dos_ef_per_ev_cell": 3.447, "crystal_system": "orthorhombic", "sg": "Immm (71)", "final_energy_ev_per_cell": -103.5, "relative_energy_mev_per_atom": 79, "lattice": [[3.522, 0.000, 0.000], [0.000, 4.055, 0.000], [-1.761, -2.028, 3.669]], "species": ["Cr", "Mo", "Mo", "Ni"], "fractional_positions": [[0.000, 0.500, 0.000], [0.737, 0.737, 0.475], [0.263, 0.263, 0.525], [0.500, 0.000, 0.000]]}

---

Record 4
{"formula": "CrNi2Mo", "functional": "meta-GGA SCAN", "state": "PBEsol geometry", "ef_mev_per_atom": 32, "dos_ef_per_ev_cell": 2.972, "crystal_system": "tetragonal", "sg": "I4/mmm (139)", "final_energy_ev_per_cell": -85.5, "relative_energy_mev_per_atom": 25, "lattice": [[3.534, 0.000, 0.000], [0.000, 3.529, 0.000], [-1.767, -1.764, 3.755]], "species": ["Ni", "Ni", "Mo", "Cr"], "fractional_positions": [[0.750, 0.750, 0.500], [0.250, 0.250, 0.500], [0.000, 0.500, 0.000], [0.500, 0.000, 0.000]]}

---

Q: Number 2 is which compound?
A: NbCrMo2Se

---

Q: Which formula does entry 3 have?
A: CrNiMo2

---

Repeat the first record exactly.
{"formula": "NbCrMo3", "functional": "meta-GGA SCAN", "state": "PBEsol geometry", "ef_mev_per_atom": 1084, "dos_ef_per_ev_cell": 6.589, "crystal_system": "cubic", "sg": "Pm-3m (221)", "final_energy_ev_per_cell": -150.7, "lattice": [[4.405, 0.000, 0.000], [0.000, 4.405, 0.000], [0.000, 0.000, 4.405]], "species": ["Cr", "Mo", "Mo", "Mo", "Nb"], "fractional_positions": [[0.000, 0.000, 0.000], [0.000, 0.500, 0.000], [0.000, 0.000, 0.500], [0.500, 0.000, 0.000], [0.500, 0.500, 0.500]]}